VASP calculation (PBE-GGA) on a relaxed Dy2YRu2 crystal.

Geometry as POSCAR:
```
Dy2YRu2
1.0
3.406 0.000 0.000
0.000 20.408 0.000
0.000 0.000 3.385
Dy Y Ru
4 2 4
direct
0.000 0.165 0.000
0.000 0.835 0.000
0.500 0.335 0.000
0.500 0.665 0.000
0.000 0.000 0.000
0.500 0.500 0.000
0.000 0.411 0.500
0.000 0.589 0.500
0.500 0.089 0.500
0.500 0.911 0.500
```

Results
The calculated volume is 23.5 A^3/atom. The energy above the most stable polymorph in this dataset comes out at 0.0000 eV per atom. Its density of states at the Fermi level is 6.934 states/eV/cell. The value obtained for the uncorrected energy is -7.151 eV/atom. The value obtained for the formation enthalpy at 0 K is -0.307 eV per atom. For the magnetic moment, the calculation gives 0.00 Bohr magnetons per cell.